Entry 1:
A relaxed K3YPt crystal. Source: the Alexandria database, functional PBE.

Cell lengths 6.177, 6.177, 6.177 Å; angles 90.00, 90.00, 90.00 degrees
Space group Pm-3m (No. 221)
One atom of each set of equivalent atoms:
K: 0.000 0.000 0.500 (multiplicity 3)
Y: 0.500 0.500 0.500 (multiplicity 1)
Pt: 0.000 0.000 0.000 (multiplicity 1)

Calculated values
E_form   2.950 eV/f.u.
VASP energy   -2.57 eV per atom
Offset from the most stable computed form   0.000 eV per atom
V   236 Å³ per cell

=====

Entry 2:
A relaxed K2YPt crystal. Source: the Alexandria database, functional PBE.

Cell lengths 7.846, 7.846, 7.846 Å; angles 90.00, 90.00, 90.00 degrees
Space group Fm-3m (No. 225)
One atom of each set of equivalent atoms:
K: 0.250 0.250 0.250 (multiplicity 8)
Y: 0.000 0.000 0.000 (multiplicity 4)
Pt: 0.000 0.000 0.500 (multiplicity 4)

Calculated values
E_form   2.601 eV/f.u.
VASP energy   -3.02 eV per atom
Offset from the most stable computed form   0.970 eV per atom
V   483 Å³ per cell

=====

Entry 3:
A relaxed KYPt2 crystal. Source: the Alexandria database, functional PBE.

Cell lengths 11.200, 3.064, 5.336 Å; angles 90.00, 102.58, 90.00 degrees
Space group Cm (No. 8)
One atom of each set of equivalent atoms:
K: 0.000 0.000 0.000 (multiplicity 2)
Y: 0.307 0.500 0.384 (multiplicity 2)
Pt: 0.040 0.500 0.519 (multiplicity 2)
Pt: 0.236 0.000 0.814 (multiplicity 2)

Calculated values
E_form   -1.311 eV/f.u.
VASP energy   -5.24 eV per atom
V   179 Å³ per cell

=====

Entry 4:
A relaxed K2YPt crystal. Source: the Alexandria database, functional PBE.

Cell lengths 20.977, 3.724, 4.265 Å; angles 90.00, 101.53, 90.00 degrees
Space group C2/m (No. 12)
One atom of each set of equivalent atoms:
K: 0.153 0.000 0.151 (multiplicity 4)
Y: 0.000 0.000 0.500 (multiplicity 2)
Pt: 0.000 0.500 0.000 (multiplicity 2)

Calculated values
E_form   -1.164 eV/f.u.
VASP energy   -3.97 eV per atom
Offset from the most stable computed form   0.029 eV per atom
V   326 Å³ per cell

=====

Entry 5:
A relaxed K2YPt2 crystal. Source: the Alexandria database, functional PBE.

Cell lengths 7.229, 7.229, 5.514 Å; angles 90.00, 90.00, 90.00 degrees
Space group P4/mbm (No. 127)
One atom of each set of equivalent atoms:
K: 0.163 0.337 0.000 (multiplicity 4)
Y: 0.000 0.000 0.500 (multiplicity 2)
Pt: 0.129 0.629 0.500 (multiplicity 4)

Calculated values
E_form   -1.220 eV/f.u.
VASP energy   -4.39 eV per atom
Offset from the most stable computed form   0.000 eV per atom
V   288 Å³ per cell

=====

Entry 6:
A relaxed KYPt10 crystal. Source: the Alexandria database, functional PBE.

Cell lengths 4.407, 5.451, 9.367 Å; angles 90.00, 90.00, 90.00 degrees
Space group Pmmm (No. 47)
One atom of each set of equivalent atoms:
K: 0.000 0.000 0.000 (multiplicity 1)
Y: 0.000 0.500 0.500 (multiplicity 1)
Pt: 0.000 0.000 0.338 (multiplicity 2)
Pt: 0.000 0.500 0.173 (multiplicity 2)
Pt: 0.500 0.000 0.500 (multiplicity 1)
Pt: 0.500 0.254 0.256 (multiplicity 4)
Pt: 0.500 0.500 0.000 (multiplicity 1)

Calculated values
E_form   -4.842 eV/f.u.
VASP energy   -6.07 eV per atom
V   225 Å³ per cell

=====

Entry 7:
A relaxed K2YPt2 crystal. Source: the Alexandria database, functional PBE.

Cell lengths 5.410, 5.410, 9.245 Å; angles 90.00, 90.00, 90.00 degrees
Space group I4/mmm (No. 139)
One atom of each set of equivalent atoms:
K: 0.000 0.000 0.141 (multiplicity 4)
Y: 0.000 0.000 0.500 (multiplicity 2)
Pt: 0.000 0.500 0.250 (multiplicity 4)

Calculated values
E_form   1.993 eV/f.u.
VASP energy   -3.75 eV per atom
Offset from the most stable computed form   0.643 eV per atom
V   271 Å³ per cell

=====

Entry 8:
A relaxed KYZr2Pt crystal. Source: the Alexandria database, functional PBE.

Cell lengths 5.273, 5.273, 5.586 Å; angles 90.00, 90.00, 90.00 degrees
Space group P4/mmm (No. 123)
One atom of each set of equivalent atoms:
K: 0.000 0.000 0.000 (multiplicity 1)
Y: 0.500 0.500 0.000 (multiplicity 1)
Zr: 0.000 0.500 0.500 (multiplicity 2)
Pt: 0.500 0.500 0.500 (multiplicity 1)

Calculated values
E_form   0.958 eV/f.u.
VASP energy   -5.95 eV per atom
V   155 Å³ per cell